Version i
Computed, not measured: an optimized crystal structure of BeTcN at the PBE-GGA level of DFT.

The calculation puts the total moment at 0.000 μB/f.u.

Unit cell a=2.7535 b=2.7693 c=5.0522 alpha=74.95 beta=74.81 gamma=61.06
Last column: nearest neighbours and their distance in Å.
Positions (direct):
Be 0.0000 0.0000 0.0000  1 N 1.60
Tc 0.5341 0.5408 0.4074  3 N 2.02-2.05
N 0.1122 0.1144 0.6674  1 Be 1.60


Version ii
Computed, not measured: an optimized crystal structure of BeTcN at the PBE-GGA level of DFT.

The calculation puts the total moment at 0.000 μB/f.u.

Unit cell a=2.9623 b=2.9623 c=4.5743 alpha=118.03 beta=118.03 gamma=54.74
Last column: nearest neighbours and their distance in Å.
Positions (direct):
Be 0.0000 0.0000 0.0000  3 N 1.67-1.72
Tc 0.5338 0.5338 0.4698  3 N 2.18-2.19, 1 Be 2.37
N 0.2686 0.2686 0.9084  3 Be 1.67-1.72


Version iii
Computed, not measured: an optimized crystal structure of BeTcN at the PBE-GGA level of DFT.

The calculation puts the total moment at 0.000 μB/f.u.

Unit cell a=4.8004 b=4.8004 c=4.8004 alpha=33.04 beta=33.04 gamma=33.04
Last column: nearest neighbours and their distance in Å.
Positions (direct):
Be 0.0000 0.0000 0.0000  3 N 1.87
Tc 0.8244 0.8244 0.8244  3 N 2.10
N 0.2595 0.2595 0.2595  3 Be 1.87


Version iv
Computed, not measured: an optimized crystal structure of BeTcN at the PBE-GGA level of DFT.

The calculation puts the total moment at 0.000 μB/f.u.

Unit cell a=2.9161 b=2.9161 c=3.9945 alpha=90.00 beta=90.00 gamma=120.00
Last column: nearest neighbours and their distance in Å.
Positions (direct):
Be 0.0000 0.0000 0.0000  3 N 1.68
Tc 0.6667 0.3333 0.5000  2 N 2.00
N 0.6667 0.3333 0.0000  3 Be 1.68


Bottom line: version iv, by a margin of 0.210 eV/atom.


Version i
Computed, not measured: an optimized crystal structure of BeTcTeN2 at the PBE-GGA level of DFT.

The calculation puts the total moment at 0.000 μB/f.u.

Unit cell a=3.7961 b=3.7961 c=5.8425 alpha=90.00 beta=90.00 gamma=90.00
Last column: nearest neighbours and their distance in Å.
Positions (direct):
Be 0.0000 0.0000 0.0000  4 Te 2.68
Tc 0.5000 0.5000 0.5000  4 N 1.90
Te 0.5000 0.5000 0.0000  4 Be 2.68, 2 Tc 2.92
N 0.0000 0.5000 0.5000  2 Tc 1.90
N 0.5000 0.0000 0.5000  2 Tc 1.90


Version ii
Computed, not measured: an optimized crystal structure of BeTcTeN2 at the PBE-GGA level of DFT.

The calculation puts the total moment at 1.188 μB/f.u.

Unit cell a=3.6530 b=3.6530 c=5.1267 alpha=90.00 beta=90.00 gamma=90.00
Last column: nearest neighbours and their distance in Å.
Positions (direct):
Be 0.0000 0.0000 0.0000  4 N 1.83
Tc 0.5000 0.5000 0.5000  4 Te 2.58
Te 0.0000 0.0000 0.5000  2 Be 2.56, 4 Tc 2.58
N 0.0000 0.5000 0.0000  2 Be 1.83
N 0.5000 0.0000 0.0000  2 Be 1.83


Bottom line: version i, by a margin of 0.860 eV/atom.


Version i
Computed, not measured: an optimized crystal structure of BeTe2N at the PBE-GGA level of DFT.

The calculation puts the total moment at 0.000 μB/f.u.

Unit cell a=8.1850 b=8.1850 c=8.1850 alpha=24.03 beta=24.03 gamma=24.03
Last column: nearest neighbours and their distance in Å.
Positions (direct):
Be 0.0000 0.0000 0.0000  2 Te 2.37
Te 0.0994 0.0994 0.0994  1 Be 2.37, 3 N 2.54
Te 0.9006 0.9006 0.9006  1 Be 2.37, 3 N 2.54
N 0.5000 0.5000 0.5000  6 Te 2.54


Version ii
Computed, not measured: an optimized crystal structure of BeTe2N at the PBE-GGA level of DFT.

The calculation puts the total moment at 0.000 μB/f.u.

Unit cell a=6.9660 b=6.9660 c=6.9660 alpha=33.27 beta=33.27 gamma=33.27
Last column: nearest neighbours and their distance in Å.
Positions (direct):
Be 0.0000 0.0000 0.0000  6 Te 2.67
Te 0.4018 0.4018 0.4018  1 N 1.94
Te 0.5982 0.5982 0.5982  1 N 1.94
N 0.5000 0.5000 0.5000  2 Te 1.94


Bottom line: version ii, by a margin of 0.474 eV/atom.


Version i
Computed, not measured: an optimized crystal structure of Be2TeN at the PBE-GGA level of DFT.

The calculation puts the total moment at 0.000 μB/f.u.

Unit cell a=4.1900 b=4.1900 c=4.1900 alpha=60.00 beta=60.00 gamma=60.00
Last column: nearest neighbours and their distance in Å.
Positions (direct):
Be 0.2500 0.2500 0.2500  4 Te 2.57, 4 N 2.57
Be 0.7500 0.7500 0.7500  4 Te 2.57, 4 N 2.57
Te 0.0000 0.0000 0.0000  8 Be 2.57
N 0.5000 0.5000 0.5000  8 Be 2.57


Version ii
Computed, not measured: an optimized crystal structure of Be2TeN at the PBE-GGA level of DFT.

The calculation puts the total moment at 0.000 μB/f.u.

Unit cell a=5.6300 b=5.6300 c=5.6300 alpha=127.97 beta=127.97 gamma=76.67
Last column: nearest neighbours and their distance in Å.
Positions (direct):
Be 0.3750 0.2079 0.3329  2 N 1.71
Be 0.7921 0.1250 0.1671  2 N 1.71
Be 0.8750 0.0421 0.6671  2 N 1.71
Be 0.9579 0.6250 0.8329  2 N 1.71
Te 0.2500 0.7500 0.5000  4 Be 2.64
Te 0.5000 0.5000 0.0000  4 Be 2.64
N 0.0000 0.0000 0.0000  4 Be 1.71
N 0.7500 0.2500 0.5000  4 Be 1.71


Bottom line: version ii, by a margin of 1.654 eV/atom.


Version i
Computed, not measured: an optimized crystal structure of BeTeN2 at the PBE-GGA level of DFT.

The calculation puts the total moment at 0.000 μB/f.u.

Unit cell a=3.9141 b=3.9141 c=3.9141 alpha=60.00 beta=60.00 gamma=60.00
Last column: nearest neighbours and their distance in Å.
Positions (direct):
Be 0.0000 0.0000 0.0000  8 N 2.40
Te 0.5000 0.5000 0.5000  8 N 2.40
N 0.2500 0.2500 0.2500  4 Be 2.40, 4 Te 2.40
N 0.7500 0.7500 0.7500  4 Be 2.40, 4 Te 2.40


Version ii
Computed, not measured: an optimized crystal structure of BeTeN2 at the PBE-GGA level of DFT.

The calculation puts the total moment at 0.000 μB/f.u.

Unit cell a=5.7438 b=5.7438 c=5.7438 alpha=35.52 beta=35.52 gamma=35.52
Last column: nearest neighbours and their distance in Å.
Positions (direct):
Be 0.0000 0.0000 0.0000  2 N 1.53
Te 0.5000 0.5000 0.5000  6 N 2.33
N 0.0951 0.0951 0.0951  1 Be 1.53
N 0.9049 0.9049 0.9049  1 Be 1.53


Version iii
Computed, not measured: an optimized crystal structure of BeTeN2 at the PBE-GGA level of DFT.

The calculation puts the total moment at 0.000 μB/f.u.

Unit cell a=5.5570 b=5.5570 c=5.5570 alpha=130.62 beta=130.62 gamma=72.42
Last column: nearest neighbours and their distance in Å.
Positions (direct):
Be 0.0000 0.0000 0.0000  4 N 1.78
Be 0.7500 0.2500 0.5000  4 N 1.78
Te 0.2500 0.7500 0.5000  4 N 2.26
Te 0.5000 0.5000 0.0000  4 N 2.26
N 0.0344 0.6250 0.9094  2 Be 1.78
N 0.3750 0.2844 0.4094  2 Be 1.78
N 0.7156 0.1250 0.0906  2 Be 1.78
N 0.8750 0.9656 0.5906  2 Be 1.78


Bottom line: version iii, by a margin of 0.032 eV/atom.


Version i
Computed, not measured: an optimized crystal structure of BeTlTe2N at the PBE-GGA level of DFT.

The calculation puts the total moment at 1.885 μB/f.u.

Unit cell a=5.9049 b=5.9049 c=4.1773 alpha=90.00 beta=90.00 gamma=90.00
Last column: nearest neighbours and their distance in Å.
Positions (direct):
Be 0.0000 0.0000 0.0000  8 Te 3.62
Tl 0.5000 0.5000 0.5000  2 N 2.09
Te 0.0000 0.5000 0.5000  2 Tl 2.95
Te 0.5000 0.0000 0.5000  2 Tl 2.95
N 0.5000 0.5000 0.0000  2 Tl 2.09


Version ii
Computed, not measured: an optimized crystal structure of BeTlTe2N at the PBE-GGA level of DFT.

The calculation puts the total moment at 0.000 μB/f.u.

Unit cell a=6.0051 b=6.0051 c=3.1448 alpha=90.00 beta=90.00 gamma=90.00
Last column: nearest neighbours and their distance in Å.
Positions (direct):
Be 0.0000 0.0000 0.0000  2 N 1.57
Tl 0.5000 0.5000 0.5000  2 Tl 3.14, 8 Te 3.39
Te 0.0000 0.5000 0.0000  2 Be 3.00, 2 Te 3.14
Te 0.5000 0.0000 0.0000  2 Be 3.00, 2 Te 3.14
N 0.0000 0.0000 0.5000  2 Be 1.57


Bottom line: version ii, by a margin of 1.343 eV/atom.


Version i
Computed, not measured: an optimized crystal structure of BeVTeN2 at the PBE-GGA level of DFT.

The calculation puts the total moment at 0.436 μB/f.u.

Unit cell a=3.6395 b=3.6395 c=5.0607 alpha=90.00 beta=90.00 gamma=90.00
Last column: nearest neighbours and their distance in Å.
Positions (direct):
Be 0.0000 0.0000 0.0000  4 N 1.82
V 0.5000 0.5000 0.5000  4 Te 2.57
Te 0.0000 0.0000 0.5000  2 Be 2.53, 4 V 2.57
N 0.0000 0.5000 0.0000  2 Be 1.82
N 0.5000 0.0000 0.0000  2 Be 1.82


Version ii
Computed, not measured: an optimized crystal structure of BeVTeN2 at the PBE-GGA level of DFT.

The calculation puts the total moment at 0.391 μB/f.u.

Unit cell a=3.7167 b=3.7167 c=5.6875 alpha=90.00 beta=90.00 gamma=90.00
Last column: nearest neighbours and their distance in Å.
Positions (direct):
Be 0.0000 0.0000 0.0000  4 Te 2.63
V 0.5000 0.5000 0.5000  4 N 1.86
Te 0.5000 0.5000 0.0000  4 Be 2.63, 2 V 2.84
N 0.0000 0.5000 0.5000  2 V 1.86
N 0.5000 0.0000 0.5000  2 V 1.86


Bottom line: version ii, by a margin of 0.828 eV/atom.


Version i
Computed, not measured: an optimized crystal structure of BeTe2WN at the PBE-GGA level of DFT.

The calculation puts the total moment at 1.367 μB/f.u.

Unit cell a=5.2765 b=5.2765 c=3.0795 alpha=90.00 beta=90.00 gamma=90.00
Last column: nearest neighbours and their distance in Å.
Positions (direct):
Be 0.0000 0.0000 0.0000  2 N 1.54
Te 0.0000 0.5000 0.0000  2 Be 2.64
Te 0.5000 0.0000 0.0000  2 Be 2.64
W 0.5000 0.5000 0.5000  8 Te 3.05, 2 W 3.08
N 0.0000 0.0000 0.5000  2 Be 1.54


Version ii
Computed, not measured: an optimized crystal structure of BeTe2WN at the PBE-GGA level of DFT.

The calculation puts the total moment at 0.000 μB/f.u.

Unit cell a=5.4096 b=5.4096 c=3.8028 alpha=90.00 beta=90.00 gamma=90.00
Last column: nearest neighbours and their distance in Å.
Positions (direct):
Be 0.0000 0.0000 0.0000  8 Te 3.31
Te 0.0000 0.5000 0.5000  2 W 2.70
Te 0.5000 0.0000 0.5000  2 W 2.70
W 0.5000 0.5000 0.5000  2 N 1.90
N 0.5000 0.5000 0.0000  2 W 1.90


Bottom line: version ii, by a margin of 0.187 eV/atom.